# GdThGa PBE relaxed
data_GdThGa
_chemical_formula_sum 'Gd1 Th1 Ga1'
_cell_length_a 5.0221
_cell_length_b 5.0221
_cell_length_c 3.7381
_cell_angle_alpha 90.00
_cell_angle_beta 90.00
_cell_angle_gamma 120.00
_symmetry_space_group_name_H-M 'P 3 m 1'
_symmetry_Int_Tables_number 156
_symmetry_space_group_name_Hall 'P 3 -2"'
loop_
_atom_site_label
_atom_site_type_symbol
_atom_site_fract_x
_atom_site_fract_y
_atom_site_fract_z
Gd1 Gd 0.0000 0.0000 0.0000
Th1 Th 0.3333 0.6667 0.4497
Ga1 Ga 0.6667 0.3333 0.7819
# E_form ... -0.14 eV per atom
# Relative energy among the computed polymorphs ... 0.133 eV per atom
# Total magnetic moment ... 7.4 Bohr magnetons per cell

***

# PaWC PBE relaxed
data_PaWC
_chemical_formula_sum 'Pa1 W1 C1'
_cell_length_a 3.1294
_cell_length_b 3.1294
_cell_length_c 5.6276
_cell_angle_alpha 90.00
_cell_angle_beta 90.00
_cell_angle_gamma 120.00
_symmetry_space_group_name_H-M 'P 3 m 1'
_symmetry_Int_Tables_number 156
_symmetry_space_group_name_Hall 'P 3 -2"'
loop_
_atom_site_label
_atom_site_type_symbol
_atom_site_fract_x
_atom_site_fract_y
_atom_site_fract_z
Pa1 Pa 0.0000 0.0000 0.0000
W1 W 0.3333 0.6667 0.5026
C1 C 0.6667 0.3333 0.3067
# E_form ... 0.00 eV per atom
# Relative energy among the computed polymorphs ... 0.000 eV per atom
# Total magnetic moment ... 0.0 Bohr magnetons per cell

***

# Mg6Cd12Pd PBE relaxed
data_Mg6Cd12Pd
_chemical_formula_sum 'Mg18 Cd36 Pd3'
_cell_length_a 10.6984
_cell_length_b 10.6984
_cell_length_c 12.3364
_cell_angle_alpha 90.00
_cell_angle_beta 90.00
_cell_angle_gamma 120.00
_symmetry_space_group_name_H-M 'R -3'
_symmetry_Int_Tables_number 148
_symmetry_space_group_name_Hall '-R 3'
loop_
_atom_site_label
_atom_site_type_symbol
_atom_site_fract_x
_atom_site_fract_y
_atom_site_fract_z
Mg1 Mg 0.0354 0.5944 0.2089
Cd1 Cd 0.0453 0.8603 0.3129
Cd2 Cd 0.0631 0.2092 0.9090
Pd1 Pd 0.0000 0.0000 0.5000
# E_form ... -0.14 eV per atom
# Total magnetic moment ... 0.0 Bohr magnetons per cell

***

# SrIn6Sn2 PBE relaxed
data_SrIn6Sn2
_chemical_formula_sum 'Sr1 In6 Sn2'
_cell_length_a 4.5992
_cell_length_b 4.5992
_cell_length_c 12.5493
_cell_angle_alpha 90.00
_cell_angle_beta 90.00
_cell_angle_gamma 90.00
_symmetry_space_group_name_H-M 'P 4/m m m'
_symmetry_Int_Tables_number 123
_symmetry_space_group_name_Hall '-P 4 2'
loop_
_atom_site_label
_atom_site_type_symbol
_atom_site_fract_x
_atom_site_fract_y
_atom_site_fract_z
Sr1 Sr 0.0000 0.0000 0.0000
In1 In 0.0000 0.0000 0.5000
In2 In 0.0000 0.5000 0.2898
In3 In 0.5000 0.5000 0.5000
Sn1 Sn 0.5000 0.5000 0.1199
# E_form ... -0.12 eV per atom
# Relative energy among the computed polymorphs ... 0.035 eV per atom
# Total magnetic moment ... 0.0 Bohr magnetons per cell

***

# DyHo2Sc3P6 PBE relaxed
data_DyHo2Sc3P6
_chemical_formula_sum 'Dy2 Ho4 Sc6 P12'
_cell_length_a 6.7224
_cell_length_b 11.6430
_cell_length_c 6.6999
_cell_angle_alpha 90.00
_cell_angle_beta 109.51
_cell_angle_gamma 90.00
_symmetry_space_group_name_H-M 'C 1 2/m 1'
_symmetry_Int_Tables_number 12
_symmetry_space_group_name_Hall '-C 2y'
loop_
_atom_site_label
_atom_site_type_symbol
_atom_site_fract_x
_atom_site_fract_y
_atom_site_fract_z
Dy1 Dy 0.0000 0.0000 0.0000
Ho1 Ho 0.0000 0.3333 0.0000
Sc1 Sc 0.0000 0.1666 0.5000
Sc2 Sc 0.0000 0.5000 0.5000
P1 P 0.2448 0.3330 0.7356
P2 P 0.2458 0.0000 0.7355
# E_form ... -1.54 eV per atom
# Total magnetic moment ... 0.0 Bohr magnetons per cell

***

# RePOs2 PBE relaxed
data_RePOs2
_chemical_formula_sum 'Re3 P3 Os6'
_cell_length_a 2.7955
_cell_length_b 2.7955
_cell_length_c 24.6724
_cell_angle_alpha 90.00
_cell_angle_beta 90.00
_cell_angle_gamma 120.00
_symmetry_space_group_name_H-M 'R 3 m'
_symmetry_Int_Tables_number 160
_symmetry_space_group_name_Hall 'R 3 -2"'
loop_
_atom_site_label
_atom_site_type_symbol
_atom_site_fract_x
_atom_site_fract_y
_atom_site_fract_z
Re1 Re 0.0000 0.0000 0.0000
P1 P 0.0000 0.0000 0.7451
Os1 Os 0.0000 0.0000 0.2439
Os2 Os 0.0000 0.0000 0.4873
# E_form ... 0.09 eV per atom
# Total magnetic moment ... 0.0 Bohr magnetons per cell